Record 1
# Zr5Tl4Hg | Alexandria via LeMat-Bulk | PBE | optimized geometry
# Volume ... 22.6 Å³ per atom
# Spin magnetization ... 0.0 μB per formula unit
data_Zr5Tl4Hg
_cell_length_a 3.2096
_cell_length_b 3.2096
_cell_length_c 21.9405
_cell_angle_alpha 90.00
_cell_angle_beta 90.00
_cell_angle_gamma 90.00
_space_group_name_H-M_alt 'P 4/m m m'
_space_group_IT_number 123
_space_group_name_Hall '-P 4 2'
loop_
_atom_site_label
_atom_site_type_symbol
_atom_site_fract_x
_atom_site_fract_y
_atom_site_fract_z
_atom_site_occupancy
Zr1 Zr 0.0000 0.0000 0.0000 1
Zr2 Zr 0.0000 0.0000 0.2026 1
Zr3 Zr 0.0000 0.0000 0.4041 1
Tl1 Tl 0.5000 0.5000 0.1012 1
Tl2 Tl 0.5000 0.5000 0.3031 1
Hg1 Hg 0.5000 0.5000 0.5000 1

Record 2
# Zr2TlHg | Alexandria via LeMat-Bulk | PBE | optimized geometry
# Volume ... 26.0 Å³ per atom
# Spin magnetization ... 0.0 μB per formula unit
data_Zr2TlHg
_cell_length_a 4.3674
_cell_length_b 4.3674
_cell_length_c 18.8633
_cell_angle_alpha 90.00
_cell_angle_beta 90.00
_cell_angle_gamma 120.00
_space_group_name_H-M_alt 'R 3 m'
_space_group_IT_number 160
_space_group_name_Hall 'R 3 -2"'
loop_
_atom_site_label
_atom_site_type_symbol
_atom_site_fract_x
_atom_site_fract_y
_atom_site_fract_z
_atom_site_occupancy
Zr1 Zr 0.0000 0.0000 0.0000 1
Zr2 Zr 0.0000 0.0000 0.1872 1
Tl1 Tl 0.0000 0.0000 0.4224 1
Hg1 Hg 0.0000 0.0000 0.5911 1

Record 3
# ZrTl3Hg | Alexandria via LeMat-Bulk | PBE | optimized geometry
# Energy above the most stable polymorph in this dataset ... 0.0 meV/atom
# Volume ... 38.3 Å³ per atom
# Spin magnetization ... 0.0 μB per formula unit
data_ZrTl3Hg
_cell_length_a 5.7636
_cell_length_b 5.7636
_cell_length_c 5.7636
_cell_angle_alpha 90.00
_cell_angle_beta 90.00
_cell_angle_gamma 90.00
_space_group_name_H-M_alt 'P m -3 m'
_space_group_IT_number 221
_space_group_name_Hall '-P 4 2 3'
loop_
_atom_site_label
_atom_site_type_symbol
_atom_site_fract_x
_atom_site_fract_y
_atom_site_fract_z
_atom_site_occupancy
Zr1 Zr 0.0000 0.0000 0.0000 1
Tl1 Tl 0.0000 0.0000 0.5000 1
Hg1 Hg 0.5000 0.5000 0.5000 1

Record 4
# Zr2TlHg | Alexandria via LeMat-Bulk | PBE | optimized geometry
# Volume ... 22.4 Å³ per atom
# Spin magnetization ... 0.0 μB per formula unit
data_Zr2TlHg
_cell_length_a 3.2028
_cell_length_b 5.2937
_cell_length_c 5.2927
_cell_angle_alpha 90.00
_cell_angle_beta 90.00
_cell_angle_gamma 90.00
_space_group_name_H-M_alt 'P m m 2'
_space_group_IT_number 25
loop_
_space_group_symop_operation_xyz
'x,y,z'
'-x,-y,z'
'-x,y,z'
'x,-y,z'
loop_
_atom_site_label
_atom_site_type_symbol
_atom_site_fract_x
_atom_site_fract_y
_atom_site_fract_z
_atom_site_occupancy
Zr1 Zr 0.0000 0.0000 0.0000 1
Zr2 Zr 0.0000 0.5000 0.4950 1
Tl1 Tl 0.5000 0.0000 0.5000 1
Hg1 Hg 0.5000 0.5000 0.9951 1

Record-wise formation energy values, in meV/atom: -95, 268, 486, -71
Record-wise E values, in eV/atom: -5.35, -4.67, -2.70, -5.01